1.
Here is an optimized crystal structure of CaMn2Cd from the Alexandria database. Energies are from PBE. Values from VASP.

Computed properties:
**ΔE_f**: 42.6 kJ/mol of atoms
**Uncorrected energy**: -19.49 eV/cell

```
&SYSTEM
  ibrav = 0, nat = 4, ntyp = 3
/
ATOMIC_SPECIES
Cd 112.41 Cd.upf
Mn 54.94 Mn.upf
Ca 40.08 Ca.upf
CELL_PARAMETERS angstrom
3.262 0.000 0.000
0.000 3.849 0.000
0.000 0.000 6.860
ATOMIC_POSITIONS angstrom
Cd 1.631 1.924 5.145
Mn 0.000 0.000 3.758
Mn 0.000 0.000 6.532
Ca 1.631 1.924 1.715
```

2.
Here is an optimized crystal structure of CaMn2Cd from the Alexandria database. Energies are from PBE. Values from VASP.

Computed properties:
**ΔE_f**: 39.7 kJ/mol of atoms
**Uncorrected energy**: -19.61 eV/cell

```
&SYSTEM
  ibrav = 0, nat = 4, ntyp = 3
/
ATOMIC_SPECIES
Ca 40.08 Ca.upf
Cd 112.41 Cd.upf
Mn 54.94 Mn.upf
CELL_PARAMETERS angstrom
-2.948 1.426 4.783
-3.563 -1.890 4.163
2.121 -1.184 4.232
ATOMIC_POSITIONS angstrom
Ca -2.221 -0.823 6.608
Cd -3.110 -1.250 9.775
Mn -1.317 -0.394 3.417
Mn -6.446 -0.470 8.914
```

3.
Here is an optimized crystal structure of CaMn2Cd from the Alexandria database. Energies are from PBE. Values from VASP.

Computed properties:
**ΔE_f**: 63.9 kJ/mol of atoms
**Uncorrected energy**: -37.22 eV/cell

```
&SYSTEM
  ibrav = 0, nat = 8, ntyp = 3
/
ATOMIC_SPECIES
Mn 54.94 Mn.upf
Ca 40.08 Ca.upf
Cd 112.41 Cd.upf
CELL_PARAMETERS angstrom
-4.095 -0.155 1.026
1.037 -0.804 4.016
-1.414 9.522 4.495
ATOMIC_POSITIONS angstrom
Mn -2.940 2.177 2.306
Mn -0.060 1.864 3.722
Mn -2.247 6.812 5.108
Mn -3.697 6.271 7.937
Ca -1.529 -0.480 2.521
Ca -0.953 4.119 5.516
Cd 0.000 0.000 0.000
Cd -3.519 4.443 4.021
```